1.
Here is a relaxed structure of UCu5Sn from the Open Quantum Materials Database. Energies are from PBE.

Output
Total magnetic moment in μB/f.u.: 1.32
Energy in eV per atom: -4.83

Lattice parameters (Å, degrees): 4.9724 4.9724 20.2017 90.00 90.00 120.00
Closest atoms and distances in Å follow each position.
Space group P6_3/mmc (No. 194)
One atom of each set of equivalent atoms:
U 0.0000 0.0000 0.0000 x2  12 Cu 3.00-3.31
U 0.3333 0.6667 0.2500 x2  6 Cu 2.87
Cu 0.0000 0.0000 0.2500 x2  6 Cu 2.51
Cu 0.1660 0.3321 0.6479 x12  7 Cu 2.48-2.56
Cu 0.3333 0.6667 0.5429 x4  3 Cu 2.56, 1 Sn 2.61
Cu 0.3333 0.6667 0.7500 x2  6 Cu 2.52
Sn 0.3333 0.6667 0.0864 x4  7 Cu 2.61-2.78

2.
Here is a relaxed structure of UCu2Sn from the Open Quantum Materials Database. Energies are from PBE.

Output
Total magnetic moment in μB/f.u.: 2.43
Energy in eV per atom: -5.48

Lattice parameters (Å, degrees): 4.6572 4.6572 8.0233 90.00 90.00 120.00
Closest atoms and distances in Å follow each position.
Space group P6_3/mmc (No. 194)
One atom of each set of equivalent atoms:
U 0.0000 0.0000 0.0000 x2  6 Cu 2.82
Cu 0.3333 0.6667 0.1052 x4  1 Cu 2.32
Sn 0.3333 0.6667 0.7500 x2  8 Cu 2.85-2.93

3.
Here is a relaxed structure of UCuSn from the Open Quantum Materials Database. Energies are from PBE.

Output
Total magnetic moment in μB/f.u.: 2.76
Energy in eV per atom: -6.38

Lattice parameters (Å, degrees): 4.8872 4.8872 5.8039 90.00 90.00 120.00
Closest atoms and distances in Å follow each position.
Space group P6_3/mmc (No. 194)
One atom of each set of equivalent atoms:
U 0.0000 0.0000 0.0000 x2  2 U 2.90, 6 Sn 3.17, 6 Cu 3.17
Cu 0.3333 0.6667 0.2500 x2  5 Sn 2.82-2.90
Sn 0.3333 0.6667 0.7500 x2  5 Cu 2.82-2.90

4.
Here is a relaxed structure of CuSnW2 from the Open Quantum Materials Database. Energies are from PBE.

Output
Total magnetic moment in μB/f.u.: 0.00
Energy in eV per atom: -7.88

Lattice parameters (Å, degrees): 6.3993 6.3993 6.3993 90.00 90.00 90.00
Closest atoms and distances in Å follow each position.
Space group F-43m (No. 216)
One atom of each set of equivalent atoms:
Cu 0.0000 0.0000 0.0000 x4  4 Sn 2.77, 4 W 2.77
Sn 0.2500 0.2500 0.7500 x4  4 W 2.77, 4 Cu 2.77
W 0.0000 0.0000 0.5000 x4  4 W 2.77, 4 Sn 2.77
W 0.2500 0.2500 0.2500 x4  4 W 2.77, 4 Cu 2.77

5.
Here is a relaxed structure of Cu2SnW from the Open Quantum Materials Database. Energies are from PBE.

Output
Total magnetic moment in μB/f.u.: 1.33
Energy in eV per atom: -5.50

Lattice parameters (Å, degrees): 6.3163 6.3163 6.3163 90.00 90.00 90.00
Closest atoms and distances in Å follow each position.
Space group F-43m (No. 216)
One atom of each set of equivalent atoms:
Cu 0.0000 0.0000 0.0000 x4  4 W 2.74, 4 Cu 2.74
Cu 0.2500 0.2500 0.2500 x4  4 Sn 2.74, 4 Cu 2.74
Sn 0.0000 0.0000 0.5000 x4  4 W 2.74, 4 Cu 2.74
W 0.2500 0.2500 0.7500 x4  4 Cu 2.74, 4 Sn 2.74

6.
Here is a relaxed structure of YCuSnW from the Open Quantum Materials Database. Energies are from PBE.

Output
Total magnetic moment in μB/f.u.: 0.06
Energy in eV per atom: -6.35
E above lowest polymorph in kJ/mol of atoms: 0.0

Lattice parameters (Å, degrees): 6.7656 6.7656 6.7656 90.00 90.00 90.00
Closest atoms and distances in Å follow each position.
Space group F-43m (No. 216)
One atom of each set of equivalent atoms:
Y 0.0000 0.0000 0.0000 x4  4 W 2.93, 4 Cu 2.93
Cu 0.2500 0.2500 0.7500 x4  4 Y 2.93, 4 Sn 2.93
Sn 0.0000 0.0000 0.5000 x4  4 Cu 2.93, 4 W 2.93
W 0.2500 0.2500 0.2500 x4  4 Sn 2.93, 4 Y 2.93

7.
Here is a relaxed structure of YCuSnW from the Open Quantum Materials Database. Energies are from PBE.

Output
Total magnetic moment in μB/f.u.: 1.42
Energy in eV per atom: -6.07
E above lowest polymorph in kJ/mol of atoms: 27.0

Lattice parameters (Å, degrees): 6.8485 6.8485 6.8485 90.00 90.00 90.00
Closest atoms and distances in Å follow each position.
Space group F-43m (No. 216)
One atom of each set of equivalent atoms:
Y 0.0000 0.0000 0.0000 x4  4 W 2.97, 4 Sn 2.97
Cu 0.0000 0.0000 0.5000 x4  4 Sn 2.97, 4 W 2.97
Sn 0.2500 0.2500 0.2500 x4  4 Y 2.97, 4 Cu 2.97
W 0.2500 0.2500 0.7500 x4  4 Cu 2.97, 4 Y 2.97

8.
Here is a relaxed structure of ZrCuSnW from the Open Quantum Materials Database. Energies are from PBE.

Output
Total magnetic moment in μB/f.u.: 0.00
Energy in eV per atom: -7.01
E above lowest polymorph in kJ/mol of atoms: 0.0

Lattice parameters (Å, degrees): 6.6147 6.6147 6.6147 90.00 90.00 90.00
Closest atoms and distances in Å follow each position.
Space group F-43m (No. 216)
One atom of each set of equivalent atoms:
Zr 0.0000 0.0000 0.0000 x4  4 Cu 2.86, 4 W 2.86
Cu 0.2500 0.2500 0.7500 x4  4 Zr 2.86, 4 Sn 2.86
Sn 0.0000 0.0000 0.5000 x4  4 W 2.86, 4 Cu 2.86
W 0.2500 0.2500 0.2500 x4  4 Zr 2.86, 4 Sn 2.86

9.
Here is a relaxed structure of Y2CuSn from the Open Quantum Materials Database. Energies are from PBE.

Output
Total magnetic moment in μB/f.u.: 0.55
Energy in eV per atom: -5.08

Lattice parameters (Å, degrees): 7.2599 7.2599 7.2599 90.00 90.00 90.00
Closest atoms and distances in Å follow each position.
Space group F-43m (No. 216)
One atom of each set of equivalent atoms:
Y 0.0000 0.0000 0.0000 x4  4 Cu 3.14, 4 Y 3.14
Y 0.2500 0.2500 0.2500 x4  4 Sn 3.14, 4 Y 3.14
Cu 0.2500 0.2500 0.7500 x4  4 Y 3.14, 4 Sn 3.14
Sn 0.0000 0.0000 0.5000 x4  4 Cu 3.14, 4 Y 3.14

10.
Here is a relaxed structure of Y3Cu2Sn7 from the Open Quantum Materials Database. Energies are from PBE.

Output
Total magnetic moment in μB/f.u.: 0.04
Energy in eV per atom: -4.72

Lattice parameters (Å, degrees): 6.2873 6.2873 26.5431 90.00 90.00 120.00
Closest atoms and distances in Å follow each position.
Space group R-3m (No. 166, hexagonal axes)
One atom of each set of equivalent atoms:
Y 0.0000 0.0000 0.0000 x3  6 Cu 3.63, 12 Sn 3.74, 2 Y 3.76
Y 0.0000 0.0000 0.1415 x6  12 Sn 3.53-3.69, 4 Y 3.76-3.87
Cu 0.0000 0.0000 0.3374 x6  6 Sn 2.68-2.76
Sn 0.0000 0.0000 0.5000 x3  6 Sn 3.04
Sn 0.0113 0.5056 0.9237 x18  2 Cu 2.68-2.76

11.
Here is a relaxed structure of YCuSn from the Open Quantum Materials Database. Energies are from PBE.

Output
Total magnetic moment in μB/f.u.: 0.00
Energy in eV per atom: -5.35

Lattice parameters (Å, degrees): 4.5394 4.5394 7.2480 90.00 90.00 120.00
Closest atoms and distances in Å follow each position.
Space group P6_3mc (No. 186)
One atom of each set of equivalent atoms:
Y 0.0000 0.0000 0.0000 x2  3 Cu 2.94, 6 Sn 3.10-3.27
Cu 0.3333 0.6667 0.3157 x2  4 Sn 2.69-3.00, 3 Y 2.94
Sn 0.3333 0.6667 0.7292 x2  4 Cu 2.69-3.00

12.
Here is a relaxed structure of ZnCuSn2 from the Open Quantum Materials Database. Energies are from PBE.

Output
Energy in eV per atom: -2.96

Lattice parameters (Å, degrees): 6.9685 6.9685 6.9685 90.00 90.00 90.00
Closest atoms and distances in Å follow each position.
Space group F-43m (No. 216)
One atom of each set of equivalent atoms:
Zn 0.0000 0.0000 0.0000 x4  4 Sn 3.02, 4 Cu 3.02
Cu 0.2500 0.2500 0.2500 x4  4 Sn 3.02, 4 Zn 3.02
Sn 0.0000 0.0000 0.5000 x4  4 Sn 3.02, 4 Cu 3.02
Sn 0.2500 0.2500 0.7500 x4  4 Sn 3.02, 4 Zn 3.02